# 1
# NiPPb2, optimized geometry, DFT PBE
data_NiPPb2
_cell_length_a 4.094
_cell_length_b 4.094
_cell_length_c 10.577
_cell_angle_alpha 90.00
_cell_angle_beta 90.00
_cell_angle_gamma 90.00
_symmetry_space_group_name_H-M 'I -4 m 2'
_symmetry_Int_Tables_number 119
_symmetry_space_group_name_Hall 'I -4 -2'
loop_
_atom_site_label
_atom_site_fract_x
_atom_site_fract_y
_atom_site_fract_z
Ni1 0.000 0.000 0.000
P1 0.000 0.500 0.750
Pb1 0.000 0.000 0.500
Pb2 0.000 0.500 0.250
# Calculated formation energy = 0.490 eV/atom
# Fermi-level density of states = 0.88 states/eV per atom

# 2
# Ni2PPb, optimized geometry, DFT PBE
data_Ni2PPb
_cell_length_a 3.358
_cell_length_b 3.130
_cell_length_c 12.607
_cell_angle_alpha 90.00
_cell_angle_beta 90.00
_cell_angle_gamma 90.00
_symmetry_space_group_name_H-M 'A m m 2'
_symmetry_Int_Tables_number 38
loop_
_symmetry_equiv_pos_as_xyz
'x,y,z'
'-x,-y,z'
'-x,y,z'
'x,-y,z'
'x,y+1/2,z+1/2'
'-x,-y+1/2,z+1/2'
'-x,y+1/2,z+1/2'
'x,-y+1/2,z+1/2'
loop_
_atom_site_label
_atom_site_fract_x
_atom_site_fract_y
_atom_site_fract_z
Ni1 0.000 0.000 0.000
Ni2 0.500 0.000 0.155
P1 0.000 0.000 0.624
Pb1 0.500 0.000 0.369
# Calculated formation energy = -0.138 eV/atom
# Fermi-level density of states = 0.40 states/eV per atom

# 3
# Ni2PPb, optimized geometry, DFT PBE
data_Ni2PPb
_cell_length_a 3.7713
_cell_length_b 3.7713
_cell_length_c 5.7086
_cell_angle_alpha 90.00
_cell_angle_beta 90.00
_cell_angle_gamma 120.00
_symmetry_space_group_name_H-M 'P 3 m 1'
_symmetry_Int_Tables_number 156
loop_
_symmetry_equiv_pos_as_xyz
'x,y,z'
'-y,x-y,z'
'-x+y,-x,z'
'-y,-x,z'
'-x+y,y,z'
'x,x-y,z'
loop_
_atom_site_label
_atom_site_fract_x
_atom_site_fract_y
_atom_site_fract_z
Ni1 0.0000 0.0000 0.0000
Ni2 0.3333 0.6667 0.2094
P1 0.6667 0.3333 0.1256
Pb1 0.3333 0.6667 0.6800
# Calculated formation energy = -0.215 eV/atom
# Fermi-level density of states = 0.31 states/eV per atom

# 4
# NiP2PbS, optimized geometry, DFT PBE
data_NiP2PbS
_cell_length_a 4.314
_cell_length_b 4.314
_cell_length_c 4.990
_cell_angle_alpha 90.00
_cell_angle_beta 90.00
_cell_angle_gamma 90.00
_symmetry_space_group_name_H-M 'P 4/m m m'
_symmetry_Int_Tables_number 123
_symmetry_space_group_name_Hall '-P 4 2'
loop_
_atom_site_label
_atom_site_fract_x
_atom_site_fract_y
_atom_site_fract_z
Ni1 0.000 0.000 0.000
P1 0.000 0.500 0.000
Pb1 0.500 0.500 0.500
S1 0.000 0.000 0.500
# ΔE_f (raw) = 0.33 eV/atom
# Fermi-level density of states = 0.98 states/eV per atom

# 5
# NiPPbS2, optimized geometry, DFT PBE
data_NiPPbS2
_cell_length_a 4.768
_cell_length_b 4.768
_cell_length_c 4.153
_cell_angle_alpha 90.00
_cell_angle_beta 90.00
_cell_angle_gamma 90.00
_symmetry_space_group_name_H-M 'P 4/m m m'
_symmetry_Int_Tables_number 123
_symmetry_space_group_name_Hall '-P 4 2'
loop_
_atom_site_label
_atom_site_fract_x
_atom_site_fract_y
_atom_site_fract_z
Ni1 0.000 0.000 0.000
P1 0.000 0.000 0.500
Pb1 0.500 0.500 0.500
S1 0.000 0.500 0.000
# ΔE_f (raw) = 0.15 eV/atom
# Fermi-level density of states = 0.68 states/eV per atom

# 6
# NiP2PbS8, optimized geometry, DFT PBE
data_NiP2PbS8
_cell_length_a 5.8258
_cell_length_b 5.8258
_cell_length_c 8.3635
_cell_angle_alpha 90.00
_cell_angle_beta 90.00
_cell_angle_gamma 120.00
_symmetry_space_group_name_H-M 'P -3'
_symmetry_Int_Tables_number 147
loop_
_symmetry_equiv_pos_as_xyz
'x,y,z'
'-x,-y,-z'
'-y,x-y,z'
'y,-x+y,-z'
'-x+y,-x,z'
'x-y,x,-z'
loop_
_atom_site_label
_atom_site_fract_x
_atom_site_fract_y
_atom_site_fract_z
Ni1 0.0000 0.0000 0.0000
P1 0.3333 0.6667 0.2307
Pb1 0.0000 0.0000 0.5000
S1 0.0039 0.6942 0.8274
S2 0.3333 0.6667 0.4716
# ΔE_f (raw) = -0.14 eV/atom
# Fermi-level density of states = 0.12 states/eV per atom

# 7
# NiPPbS2, optimized geometry, DFT PBE
data_NiPPbS2
_cell_length_a 5.204
_cell_length_b 5.204
_cell_length_c 5.163
_cell_angle_alpha 90.00
_cell_angle_beta 90.00
_cell_angle_gamma 90.00
_symmetry_space_group_name_H-M 'P 4/m m m'
_symmetry_Int_Tables_number 123
_symmetry_space_group_name_Hall '-P 4 2'
loop_
_atom_site_label
_atom_site_fract_x
_atom_site_fract_y
_atom_site_fract_z
Ni1 0.000 0.000 0.000
P1 0.500 0.500 0.000
Pb1 0.500 0.500 0.500
S1 0.000 0.500 0.500
# ΔE_f (raw) = 1.41 eV/atom
# Fermi-level density of states = 1.92 states/eV per atom

# 8
# NiP2PbS, optimized geometry, DFT PBE
data_NiP2PbS
_cell_length_a 5.174
_cell_length_b 5.174
_cell_length_c 5.183
_cell_angle_alpha 90.00
_cell_angle_beta 90.00
_cell_angle_gamma 90.00
_symmetry_space_group_name_H-M 'P 4/m m m'
_symmetry_Int_Tables_number 123
_symmetry_space_group_name_Hall '-P 4 2'
loop_
_atom_site_label
_atom_site_fract_x
_atom_site_fract_y
_atom_site_fract_z
Ni1 0.000 0.000 0.000
P1 0.000 0.500 0.500
Pb1 0.500 0.500 0.500
S1 0.500 0.500 0.000
# ΔE_f (raw) = 1.68 eV/atom
# Fermi-level density of states = 2.15 states/eV per atom

# 9
# NiP2PbSe, optimized geometry, DFT PBE
data_NiP2PbSe
_cell_length_a 5.271
_cell_length_b 5.271
_cell_length_c 5.597
_cell_angle_alpha 90.00
_cell_angle_beta 90.00
_cell_angle_gamma 90.00
_symmetry_space_group_name_H-M 'P 4/m m m'
_symmetry_Int_Tables_number 123
_symmetry_space_group_name_Hall '-P 4 2'
loop_
_atom_site_label
_atom_site_fract_x
_atom_site_fract_y
_atom_site_fract_z
Ni1 0.000 0.000 0.000
P1 0.000 0.500 0.500
Pb1 0.500 0.500 0.500
Se1 0.500 0.500 0.000
# ΔE_f (raw) = 1.65 eV/atom
# Fermi-level density of states = 1.92 states/eV per atom

# 10
# Sr2NiPPb, optimized geometry, DFT PBE
data_Sr2NiPPb
_cell_length_a 6.002
_cell_length_b 6.002
_cell_length_c 4.142
_cell_angle_alpha 90.00
_cell_angle_beta 90.00
_cell_angle_gamma 90.00
_symmetry_space_group_name_H-M 'P 4/m m m'
_symmetry_Int_Tables_number 123
_symmetry_space_group_name_Hall '-P 4 2'
loop_
_atom_site_label
_atom_site_fract_x
_atom_site_fract_y
_atom_site_fract_z
Sr1 0.000 0.500 0.000
Ni1 0.000 0.000 0.500
P1 0.000 0.000 0.000
Pb1 0.500 0.500 0.500
# Calculated formation energy = -0.483 eV/atom
# Fermi-level density of states = 1.04 states/eV per atom

# 11
# SrNiP2Pb, optimized geometry, DFT PBE
data_SrNiP2Pb
_cell_length_a 5.453
_cell_length_b 5.453
_cell_length_c 4.943
_cell_angle_alpha 90.00
_cell_angle_beta 90.00
_cell_angle_gamma 90.00
_symmetry_space_group_name_H-M 'P 4/m m m'
_symmetry_Int_Tables_number 123
_symmetry_space_group_name_Hall '-P 4 2'
loop_
_atom_site_label
_atom_site_fract_x
_atom_site_fract_y
_atom_site_fract_z
Sr1 0.000 0.000 0.000
Ni1 0.000 0.000 0.500
P1 0.000 0.500 0.000
Pb1 0.500 0.500 0.500
# Calculated formation energy = 1.159 eV/atom
# Fermi-level density of states = 1.50 states/eV per atom

# 12
# Y2NiPPb, optimized geometry, DFT PBE
data_Y2NiPPb
_cell_length_a 5.772
_cell_length_b 5.772
_cell_length_c 4.973
_cell_angle_alpha 90.00
_cell_angle_beta 90.00
_cell_angle_gamma 90.00
_symmetry_space_group_name_H-M 'P 4/m m m'
_symmetry_Int_Tables_number 123
_symmetry_space_group_name_Hall '-P 4 2'
loop_
_atom_site_label
_atom_site_fract_x
_atom_site_fract_y
_atom_site_fract_z
Y1 0.000 0.500 0.000
Ni1 0.000 0.000 0.500
P1 0.500 0.500 0.500
Pb1 0.500 0.500 0.000
# Calculated formation energy = 1.010 eV/atom
# Fermi-level density of states = 1.61 states/eV per atom

# 13
# NiP2Pd, optimized geometry, DFT PBE
data_NiP2Pd
_cell_length_a 5.995
_cell_length_b 5.995
_cell_length_c 5.995
_cell_angle_alpha 90.00
_cell_angle_beta 90.00
_cell_angle_gamma 90.00
_symmetry_space_group_name_H-M 'F m -3 m'
_symmetry_Int_Tables_number 225
_symmetry_space_group_name_Hall '-F 4 2 3'
loop_
_atom_site_label
_atom_site_fract_x
_atom_site_fract_y
_atom_site_fract_z
Ni1 0.000 0.000 0.000
P1 0.250 0.250 0.250
Pd1 0.000 0.000 0.500
# Calculated formation energy = 0.014 eV/atom
# Fermi-level density of states = 0.52 states/eV per atom

# 14
# Ni4P2Pd, optimized geometry, DFT PBE
data_Ni4P2Pd
_cell_length_a 6.945
_cell_length_b 6.945
_cell_length_c 3.531
_cell_angle_alpha 90.00
_cell_angle_beta 90.00
_cell_angle_gamma 90.00
_symmetry_space_group_name_H-M 'P 42/m n m'
_symmetry_Int_Tables_number 136
_symmetry_space_group_name_Hall '-P 4n 2n'
loop_
_atom_site_label
_atom_site_fract_x
_atom_site_fract_y
_atom_site_fract_z
Ni1 0.060 0.319 0.000
P1 0.249 0.751 0.000
Pd1 0.000 0.000 0.500
# Calculated formation energy = -0.429 eV/atom
# Fermi-level density of states = 0.56 states/eV per atom